The following is a DFT calculation (meta-GGA SCAN) of NdAgAu2 at its PBEsol-relaxed geometry.

Its energy relative to the elements is -0.69 eV per atom. As for the symmetry: Fm-3m, No. 225. The value obtained for the density of states at the Fermi level is 1.65 states/eV per cell.

The structure in extended XYZ format:
```
4
Lattice="4.8905 0.0000 0.0000 2.4453 4.2353 0.0000 2.4453 1.4118 3.9931" Properties=species:S:1:pos:R:3 pbc="T T T"
Au 7.3358 4.2353 2.9948
Nd 0.0000 0.0000 0.0000
Au 2.4453 1.4118 0.9983
Ag 4.8905 2.8236 1.9966
```

---

The following is a DFT calculation (meta-GGA SCAN) of NiAg2Au at its PBEsol-relaxed geometry.

Its energy relative to the elements is 0.21 eV per atom. As for the symmetry: Fm-3m, No. 225. The value obtained for the density of states at the Fermi level is 1.66 states/eV per cell.

The structure in extended XYZ format:
```
4
Lattice="-3.4004 2.2298 1.7260 -3.9359 -1.9591 0.4297 -1.5192 -1.0478 4.0135" Properties=species:S:1:pos:R:3 pbc="T T T"
Ni -4.4277 -0.3885 3.0846
Au 0.0000 0.0000 0.0000
Ag -2.2139 -0.1943 1.5423
Ag -6.6416 -0.5828 4.6269
```

---

The following is a DFT calculation (meta-GGA SCAN) of NiAgAu4 at its PBEsol-relaxed geometry.

Its energy relative to the elements is 0.28 eV per atom. As for the symmetry: F-43m, No. 216. The value obtained for the density of states at the Fermi level is 4.76 states/eV per cell.

The structure in extended XYZ format:
```
6
Lattice="5.3204 0.0000 0.0000 2.6602 4.6076 0.0000 2.6602 1.5359 4.3441" Properties=species:S:1:pos:R:3 pbc="T T T"
Au 5.3204 3.0717 3.7996
Au 5.3204 4.6062 1.6295
Au 3.9914 2.3044 1.6295
Ag 0.0000 0.0000 0.0000
Au 6.6493 2.3044 1.6295
Ni 7.9806 4.6076 3.2580
```

---

The following is a DFT calculation (meta-GGA SCAN) of Ni2AgSbAu at its PBEsol-relaxed geometry.

The uncorrected formation energy comes out at 1068 meV per atom. As for the symmetry: P4/mmm, No. 123. The value obtained for the density of states at the Fermi level is 2.92 states/eV per cell.

The structure in extended XYZ format:
```
5
Lattice="-4.2932 -0.8420 -1.2567 -0.2251 -3.3839 3.0362 -1.6071 3.1434 3.3841" Properties=species:S:1:pos:R:3 pbc="T T T"
Sb -3.0627 -0.5412 2.5818
Ni -2.1466 -0.4210 -0.6283
Ag 0.0000 0.0000 0.0000
Ni -0.1125 -1.6919 1.5181
Au -0.8035 1.5717 1.6921
```

---

The following is a DFT calculation (meta-GGA SCAN) of AgAuO3 at its PBEsol-relaxed geometry.

The uncorrected formation energy comes out at -90 meV per atom. As for the symmetry: Fd-3m, No. 227.

The structure in extended XYZ format:
```
20
Lattice="7.1388 0.0000 0.0000 3.5694 6.1824 0.0000 3.5694 2.0608 5.8288" Properties=species:S:1:pos:R:3 pbc="T T T"
O 7.1388 1.7887 1.2648
Au 5.3541 1.0304 0.7286
O 9.1591 2.9552 4.5640
O 2.0203 2.9552 0.1924
Ag 7.1388 2.0608 3.6430
Ag 7.1388 4.1216 0.7286
Au 3.5694 4.1216 0.7286
Au 3.5694 2.0608 3.6430
Ag 5.3541 5.1520 3.6430
O 3.5694 0.2720 0.1924
O 7.1388 6.4544 4.5640
O 3.5694 3.8495 2.7220
O 5.1185 2.9552 0.1924
O 5.1185 5.2880 1.2648
Au 1.7847 1.0304 0.7286
O 2.0203 1.1664 2.7220
Ag 8.9235 5.1520 3.6430
O 9.1591 5.2880 1.2648
O 5.1185 1.1664 2.7220
O 5.1185 2.9552 4.5640
```

---

The following is a DFT calculation (meta-GGA SCAN) of AgAuO3 at its PBEsol-relaxed geometry.

The uncorrected formation energy comes out at 757 meV per atom. As for the symmetry: Pm-3m, No. 221. The value obtained for the density of states at the Fermi level is 4.40 states/eV per cell.

The structure in extended XYZ format:
```
5
Lattice="3.9759 0.0000 0.0000 0.0000 3.9759 0.0000 0.0000 0.0000 3.9759" Properties=species:S:1:pos:R:3 pbc="T T T"
O 1.9880 0.0000 0.0000
O 0.0000 0.0000 1.9880
Au 1.9880 1.9880 1.9880
O 0.0000 1.9880 0.0000
Ag 0.0000 0.0000 0.0000
```

---

The following is a DFT calculation (meta-GGA SCAN) of AgOsAu2 at its PBEsol-relaxed geometry.

Its energy relative to the elements is 0.44 eV per atom. As for the energy relative to the lowest polymorph listed for this composition: 0.000 eV/atom. As for the symmetry: Cmm2, No. 35. The value obtained for the density of states at the Fermi level is 2.79 states/eV per cell.

The structure in extended XYZ format:
```
4
Lattice="-0.9543 0.0492 2.5742 1.5394 -2.1304 -0.7945 8.0280 4.7244 2.8860" Properties=species:S:1:pos:R:3 pbc="T T T"
Au 0.0176 0.0104 0.0063
Au 6.2764 2.4809 3.0410
Ag 2.3274 0.1569 1.6214
Os 4.0055 2.3572 1.4400
```

---

The following is a DFT calculation (meta-GGA SCAN) of AgOsAu3 at its PBEsol-relaxed geometry.

Its energy relative to the elements is 1.21 eV per atom. As for the symmetry: Pm-3m, No. 221. The value obtained for the density of states at the Fermi level is 2.80 states/eV per cell.

The structure in extended XYZ format:
```
5
Lattice="4.9202 0.0000 0.0000 0.0000 4.9202 0.0000 0.0000 0.0000 4.9202" Properties=species:S:1:pos:R:3 pbc="T T T"
Au 2.4601 0.0000 0.0000
Au 0.0000 2.4601 0.0000
Au 0.0000 0.0000 2.4601
Ag 2.4601 2.4601 2.4601
Os 0.0000 0.0000 0.0000
```

---

The following is a DFT calculation (meta-GGA SCAN) of AgOs2Au at its PBEsol-relaxed geometry.

Its energy relative to the elements is 0.79 eV per atom. As for the energy relative to the lowest polymorph listed for this composition: 0.000 eV/atom. As for the symmetry: C2/m, No. 12. The value obtained for the density of states at the Fermi level is 4.56 states/eV per cell.

The structure in extended XYZ format:
```
4
Lattice="-1.8540 -0.0166 1.9401 -3.3694 -0.6937 -3.2478 3.1481 -4.4576 1.1253" Properties=species:S:1:pos:R:3 pbc="T T T"
Ag -0.9270 -0.0083 0.9700
Au -1.6847 -0.3468 -1.6239
Os 1.5740 -2.2288 0.5627
Os -1.0376 -2.5839 -0.0912
```

---

The following is a DFT calculation (meta-GGA SCAN) of AgOs2Au at its PBEsol-relaxed geometry.

Its energy relative to the elements is 0.91 eV per atom. As for the energy relative to the lowest polymorph listed for this composition: 0.117 eV/atom. As for the symmetry: Pmmm, No. 47. The value obtained for the density of states at the Fermi level is 3.63 states/eV per cell.

The structure in extended XYZ format:
```
4
Lattice="-1.3424 -2.3398 -0.0608 3.6935 -2.1319 0.4974 -0.5920 0.2028 5.2650" Properties=species:S:1:pos:R:3 pbc="T T T"
Os -0.1384 0.0474 1.2313
Os -0.4535 0.1554 4.0337
Au 0.8796 -2.1345 2.8508
Ag 1.1756 -2.2359 0.2183
```

---

The following is a DFT calculation (meta-GGA SCAN) of AgOsAu2 at its PBEsol-relaxed geometry.

Its energy relative to the elements is 0.65 eV per atom. As for the energy relative to the lowest polymorph listed for this composition: 0.215 eV/atom. As for the symmetry: Fm-3m, No. 225. The value obtained for the density of states at the Fermi level is 1.70 states/eV per cell.

The structure in extended XYZ format:
```
4
Lattice="-1.3733 1.1903 4.1273 -1.7423 -3.0967 2.7771 2.3246 -1.3415 3.6241" Properties=species:S:1:pos:R:3 pbc="T T T"
Au -0.1978 -0.8120 2.6322
Au -0.5933 -2.4359 7.8965
Os -0.3955 -1.6239 5.2643
Ag 0.0000 0.0000 0.0000
```

---

The following is a DFT calculation (meta-GGA SCAN) of Ag2PAu at its PBEsol-relaxed geometry.

Its energy relative to the elements is 0.22 eV per atom. As for the symmetry: I4/mmm, No. 139. The value obtained for the density of states at the Fermi level is 1.54 states/eV per cell.

The structure in extended XYZ format:
```
4
Lattice="-3.1615 -1.5767 1.7024 2.0214 -3.2841 0.7123 1.7995 3.9971 2.5269" Properties=species:S:1:pos:R:3 pbc="T T T"
P 0.0000 0.0000 0.0000
Ag -0.9660 -0.0050 2.7183
Ag 1.6254 -0.8587 2.2233
Au -0.5700 -2.4304 1.2073
```

---

The following is a DFT calculation (meta-GGA SCAN) of Ag2PAu at its PBEsol-relaxed geometry.

Its energy relative to the elements is 0.20 eV per atom. As for the symmetry: Cmmm, No. 65. The value obtained for the density of states at the Fermi level is 1.10 states/eV per cell.

The structure in extended XYZ format:
```
4
Lattice="2.8422 0.0032 0.0000 -0.0586 2.8416 0.0000 0.0000 0.0000 8.0860" Properties=species:S:1:pos:R:3 pbc="T T T"
Au 1.3918 1.4224 4.0430
Ag 0.0000 0.0000 6.1453
Ag 0.0000 0.0000 1.9407
P 1.3918 1.4224 0.0000
```

---

The following is a DFT calculation (meta-GGA SCAN) of AgP4Au at its PBEsol-relaxed geometry.

Its energy relative to the elements is -0.06 eV per atom. As for the energy relative to the lowest polymorph listed for this composition: 0.000 eV/atom. As for the symmetry: P-1, No. 2. The value obtained for the density of states at the Fermi level is 1.52 states/eV per cell.

The structure in extended XYZ format:
```
6
Lattice="-0.8588 0.8110 -2.9861 3.8276 -0.6025 -2.8778 -2.1759 -7.2710 -1.4143" Properties=species:S:1:pos:R:3 pbc="T T T"
Au 0.0000 0.0000 0.0000
P 0.7241 -5.7739 -3.5072
P 0.0688 -1.2887 -3.7710
P 1.8551 -2.0095 -2.7551
P -1.0623 -5.0531 -4.5231
Ag -1.0880 -3.6355 -0.7072
```

---

The following is a DFT calculation (meta-GGA SCAN) of Ag2PAu at its PBEsol-relaxed geometry.

Its energy relative to the elements is 0.23 eV per atom. As for the symmetry: I-4m2, No. 119. The value obtained for the density of states at the Fermi level is 1.29 states/eV per cell.

The structure in extended XYZ format:
```
4
Lattice="4.0068 0.0000 0.0000 0.0000 4.0068 0.0000 -2.0034 -2.0034 4.0666" Properties=species:S:1:pos:R:3 pbc="T T T"
Ag 0.0000 0.0000 0.0000
Ag 2.0034 0.0000 2.0333
P 0.0000 2.0034 2.0333
Au 2.0034 2.0034 0.0000
```

---

The following is a DFT calculation (meta-GGA SCAN) of AgPAu2 at its PBEsol-relaxed geometry.

Its energy relative to the elements is 0.25 eV per atom. As for the symmetry: Pmmm, No. 47. The value obtained for the density of states at the Fermi level is 1.40 states/eV per cell.

The structure in extended XYZ format:
```
4
Lattice="3.1438 0.0000 0.0000 0.0000 3.4192 0.0000 0.0000 0.0000 6.0783" Properties=species:S:1:pos:R:3 pbc="T T T"
Au 0.0000 0.0000 4.6520
Au 0.0000 0.0000 1.4263
Ag 1.5719 1.7096 3.0392
P 1.5719 1.7096 0.0000
```

---

The following is a DFT calculation (meta-GGA SCAN) of AgP4Au at its PBEsol-relaxed geometry.

Its energy relative to the elements is 0.63 eV per atom. As for the energy relative to the lowest polymorph listed for this composition: 0.683 eV/atom. As for the symmetry: F-43m, No. 216. The value obtained for the density of states at the Fermi level is 0.51 states/eV per cell.

The structure in extended XYZ format:
```
6
Lattice="5.3286 0.0000 0.0000 2.6643 4.6147 0.0000 2.6643 1.5382 4.3508" Properties=species:S:1:pos:R:3 pbc="T T T"
P 3.7890 2.1876 1.5469
P 5.3286 4.8542 1.5469
P 5.3286 3.0765 4.0610
P 6.8682 2.1876 1.5469
Ag 7.9929 4.6147 3.2631
Au 0.0000 0.0000 0.0000
```

---

The following is a DFT calculation (meta-GGA SCAN) of AgP3Au at its PBEsol-relaxed geometry.

Its energy relative to the elements is 1.47 eV per atom. As for the symmetry: Pm-3m, No. 221. The value obtained for the density of states at the Fermi level is 3.91 states/eV per cell.

The structure in extended XYZ format:
```
5
Lattice="4.6883 0.0000 0.0000 0.0000 4.6883 0.0000 0.0000 0.0000 4.6883" Properties=species:S:1:pos:R:3 pbc="T T T"
P 0.0000 0.0000 2.3442
P 0.0000 2.3442 0.0000
Ag 0.0000 0.0000 0.0000
Au 2.3442 2.3442 2.3442
P 2.3442 0.0000 0.0000
```

---

The following is a DFT calculation (meta-GGA SCAN) of Ag2PAu at its PBEsol-relaxed geometry.

Its energy relative to the elements is 0.21 eV per atom. As for the symmetry: R-3m, No. 166. The value obtained for the density of states at the Fermi level is 0.85 states/eV per cell.

The structure in extended XYZ format:
```
4
Lattice="-0.7393 -2.6272 -1.0195 1.0144 -0.9003 -2.5784 7.1232 -4.7062 2.7997" Properties=species:S:1:pos:R:3 pbc="T T T"
Ag 1.7591 -2.0130 -0.2510
Ag 5.6392 -6.2207 -0.5472
P 0.0000 0.0000 0.0000
Au 3.6992 -4.1168 -0.3991
```

---

The following is a DFT calculation (meta-GGA SCAN) of AgP2Au at its PBEsol-relaxed geometry.

Its energy relative to the elements is 0.27 eV per atom. As for the symmetry: R-3m, No. 166. The value obtained for the density of states at the Fermi level is 1.60 states/eV per cell.

The structure in extended XYZ format:
```
4
Lattice="3.6702 0.0000 0.0000 1.8351 3.1785 0.0000 1.8351 1.0595 5.8640" Properties=species:S:1:pos:R:3 pbc="T T T"
P 5.5053 3.1785 4.5232
P 1.8351 1.0595 1.3407
Ag 3.6702 2.1190 2.9320
Au 0.0000 0.0000 0.0000
```

---

Number 1: size of the total moment 0.000 μB/atom. Number 2: size of the total moment 0.000 μB/atom. Number 3: size of the total moment 0.210 μB/atom. Number 4: size of the total moment 0.408 μB/atom. Number 5: size of the total moment 0.000 μB/atom. Number 6: size of the total moment 0.295 μB/atom. Number 7: size of the total moment 0.174 μB/atom. Number 8: size of the total moment 0.414 μB/atom. Number 9: size of the total moment 0.002 μB/atom. Number 10: size of the total moment 0.000 μB/atom. Number 11: size of the total moment 0.516 μB/atom. Number 12: size of the total moment 0.000 μB/atom. Number 13: size of the total moment 0.000 μB/atom. Number 14: size of the total moment 0.000 μB/atom. Number 15: size of the total moment 0.000 μB/atom. Number 16: size of the total moment 0.000 μB/atom. Number 17: size of the total moment 0.000 μB/atom. Number 18: size of the total moment 0.000 μB/atom. Number 19: size of the total moment 0.000 μB/atom. Number 20: size of the total moment 0.000 μB/atom.